{
  "formula": "Ca2AgS2",
  "functional": "PBE",
  "state": "relaxed",
  "spacegroup": "P4/mbm (127)",
  "dos_at_fermi_per_ev_atom": 0.40,
  "magnetic_moment_mub_per_atom": 0.08,
  "formation_energy_uncorrected_ev_per_atom": -1.30,
  "energy_ry_per_atom": -0.318,
  "lattice_angstrom": [[7.6918, 0.0000, 0.0000], [0.0000, 7.6918, 0.0000], [0.0000, 0.0000, 3.6697]],
  "species": ["Ag", "Ag", "Ca", "Ca", "Ca", "Ca", "S", "S", "S", "S"],
  "frac_coords": [[0.5000, 0.5000, 0.0000], [0.0000, 0.0000, 0.0000], [0.1556, 0.6556, 0.5000], [0.6556, 0.8444, 0.5000], [0.8444, 0.3444, 0.5000], [0.3444, 0.1556, 0.5000], [0.3456, 0.8456, 0.0000], [0.8456, 0.6544, 0.0000], [0.1544, 0.3456, 0.0000], [0.6544, 0.1544, 0.0000]]
}